Cs4PtS4 | PBE | relaxed

E_tot ... -32.925 eV per cell

Cell and atoms, written as POSCAR:
```
Cs4PtS4
1.0
5.7595 -4.0171 0.0000
5.7595 4.0171 0.0000
-1.5006 0.0000 7.0877
Cs Pt S
4 1 4
direct
0.3761 0.3761 0.1770 Cs
0.8270 0.8270 0.3620 Cs
0.1730 0.1730 0.6380 Cs
0.6239 0.6239 0.8230 Cs
0.0000 0.0000 0.0000 Pt
0.8981 0.3094 0.1964 S
0.3094 0.8981 0.1964 S
0.6906 0.1019 0.8036 S
0.1019 0.6906 0.8036 S
```